Record 1
! B2PtC (PBE-GGA, optimized geometry); values from VASP
&SYSTEM
  ibrav = 0, nat = 16, ntyp = 3
/
ATOMIC_SPECIES
B 10.81 B.upf
Pt 195.08 Pt.upf
C 12.01 C.upf
ATOMIC_POSITIONS angstrom
B 0.683 1.099 1.024
B 1.099 2.882 3.073
B 1.099 3.714 7.170
B 1.515 1.099 5.121
B 2.882 3.298 5.121
B 3.298 0.683 7.170
B 3.298 1.515 3.073
B 3.714 3.298 1.024
Pt 0.000 0.000 4.097
Pt 0.000 2.199 6.146
Pt 2.199 0.000 2.049
Pt 2.199 2.199 0.000
C 0.000 0.000 0.000
C 0.000 2.199 2.049
C 2.199 0.000 6.146
C 2.199 2.199 4.097
CELL_PARAMETERS angstrom
4.398 0.000 0.000
0.000 4.398 0.000
0.000 0.000 8.194
! - Energy: -6.92 eV/atom
! - Space group: I-42d
! - Fermi-level density of states: 0.00 states/eV per cell
! - Formation energy: 240 meV per atom

***

Record 2
! Nd2Y7Tm4 (PBE-GGA, optimized geometry); values from VASP
&SYSTEM
  ibrav = 0, nat = 13, ntyp = 3
/
ATOMIC_SPECIES
Nd 144.24 Nd.upf
Y 88.91 Y.upf
Tm 168.93 Tm.upf
ATOMIC_POSITIONS angstrom
Nd 0.000 3.515 0.000
Nd 3.044 1.758 0.000
Y 0.000 0.000 0.000
Y -1.080 1.870 2.918
Y -1.965 3.403 10.370
Y 2.159 0.000 2.918
Y 1.080 1.870 10.370
Y 3.929 0.000 10.370
Y 1.965 3.403 2.918
Tm 0.000 0.000 5.260
Tm 0.000 0.000 8.028
Tm 0.000 3.515 6.644
Tm 3.044 1.758 6.644
CELL_PARAMETERS angstrom
6.088 0.000 0.000
-3.044 5.273 0.000
0.000 0.000 13.289
! - Energy: -5.39 eV/atom
! - Space group: P-31m
! - Fermi-level density of states: 18.70 states/eV per cell
! - Formation energy: 201 meV per atom

***

Record 3
! Al2SnAuSe6 (PBE-GGA, optimized geometry); values from VASP
&SYSTEM
  ibrav = 0, nat = 20, ntyp = 4
/
ATOMIC_SPECIES
Al 26.98 Al.upf
Sn 118.71 Sn.upf
Au 196.97 Au.upf
Se 78.96 Se.upf
ATOMIC_POSITIONS angstrom
Al 2.038 1.096 1.944
Al 1.183 -1.096 5.255
Al 10.004 1.096 1.367
Al 9.149 -1.096 4.678
Sn 6.021 3.149 1.655
Sn 5.166 -3.149 4.966
Au 5.166 1.424 4.966
Au 6.021 -1.424 1.655
Se 0.704 0.879 3.944
Se 3.009 2.795 5.864
Se 1.559 -0.879 0.634
Se 4.404 1.035 2.557
Se 7.323 2.795 4.068
Se 3.549 -1.035 5.867
Se 7.638 1.035 0.754
Se 3.865 -2.795 2.553
Se 6.783 -1.035 4.065
Se 9.628 0.879 5.988
Se 8.178 -2.795 0.758
Se 10.483 -0.879 2.677
CELL_PARAMETERS angstrom
6.449 -5.977 0.000
6.449 5.977 0.000
-1.710 0.000 6.622
! - Energy: -3.98 eV/atom
! - Space group: C2/c
! - Fermi-level density of states: 8.91 states/eV per cell

***

Record 4
! SrTl2Br (PBE-GGA, optimized geometry); values from VASP
&SYSTEM
  ibrav = 0, nat = 16, ntyp = 3
/
ATOMIC_SPECIES
Sr 87.62 Sr.upf
Tl 204.38 Tl.upf
Br 79.90 Br.upf
ATOMIC_POSITIONS angstrom
Sr 0.000 0.000 0.000
Sr 0.000 4.093 4.093
Sr 4.093 0.000 4.093
Sr 4.093 4.093 0.000
Tl 2.046 2.046 2.046
Tl 2.046 2.046 6.139
Tl 2.046 6.139 2.046
Tl 2.046 6.139 6.139
Tl 6.139 2.046 2.046
Tl 6.139 2.046 6.139
Tl 6.139 6.139 2.046
Tl 6.139 6.139 6.139
Br 0.000 0.000 4.093
Br 0.000 4.093 0.000
Br 4.093 0.000 0.000
Br 4.093 4.093 4.093
CELL_PARAMETERS angstrom
8.185 0.000 0.000
0.000 8.185 0.000
0.000 0.000 8.185
! - Energy: -2.31 eV/atom
! - Space group: Fm-3m
! - Polymorph energy (0 for the lowest one): 439 meV per atom
! - Fermi-level density of states: 16.61 states/eV per cell

***

Record 5
! CaIr (PBE-GGA, optimized geometry); values from VASP
&SYSTEM
  ibrav = 0, nat = 2, ntyp = 2
/
ATOMIC_SPECIES
Ca 40.08 Ca.upf
Ir 192.22 Ir.upf
ATOMIC_POSITIONS angstrom
Ca 0.000 0.000 0.000
Ir 1.584 0.914 2.251
CELL_PARAMETERS angstrom
3.167 0.000 0.000
-1.584 2.743 0.000
0.000 0.000 4.503
! - Energy: -5.30 eV/atom
! - Space group: P-6m2
! - Fermi-level density of states: 1.30 states/eV per cell
! - Formation energy: 135 meV per atom

***

Record 6
! CaCo12Ge6 (PBE-GGA, optimized geometry); values from VASP
&SYSTEM
  ibrav = 0, nat = 19, ntyp = 3
/
ATOMIC_SPECIES
Ca 40.08 Ca.upf
Co 58.93 Co.upf
Ge 72.64 Ge.upf
ATOMIC_POSITIONS angstrom
Ca 0.000 0.000 0.000
Co -1.979 -3.427 4.041
Co -3.958 0.000 4.041
Co -1.322 -0.764 2.888
Co 1.322 -0.764 2.888
Co 0.000 1.527 2.888
Co 1.979 -3.427 4.041
Co -1.979 3.427 4.041
Co 0.000 -1.527 5.193
Co -1.322 0.764 5.193
Co 1.322 0.764 5.193
Co 3.958 0.000 4.041
Co 1.979 3.427 4.041
Ge 0.000 -2.799 3.172
Ge -2.424 1.399 3.172
Ge -2.424 -1.399 4.909
Ge 2.424 1.399 3.172
Ge 2.424 -1.399 4.909
Ge 0.000 2.799 4.909
CELL_PARAMETERS angstrom
5.316 3.069 2.694
-5.316 3.069 2.694
0.000 -6.138 2.694
! - Energy: -6.09 eV/atom
! - Space group: R-3m
! - Fermi-level density of states: 21.02 states/eV per cell
! - Formation energy: -34 meV per atom

***

Record 7
! YBeRhF2 (PBE-GGA, optimized geometry); values from VASP
&SYSTEM
  ibrav = 0, nat = 5, ntyp = 4
/
ATOMIC_SPECIES
Y 88.91 Y.upf
Be 9.01 Be.upf
Rh 102.91 Rh.upf
F 19.00 F.upf
ATOMIC_POSITIONS angstrom
Y 0.000 0.000 0.000
Be 0.000 0.000 4.323
Rh 1.798 1.798 0.000
F 0.000 1.798 4.323
F 1.798 0.000 4.323
CELL_PARAMETERS angstrom
3.595 0.000 0.000
0.000 3.595 0.000
0.000 0.000 8.646
! - Energy: -5.53 eV/atom
! - Space group: P4/mmm
! - Fermi-level density of states: 1.15 states/eV per cell

***

Record 8
! Cs2AsPdSe4 (PBE-GGA, optimized geometry); values from VASP
&SYSTEM
  ibrav = 0, nat = 16, ntyp = 4
/
ATOMIC_SPECIES
Cs 132.91 Cs.upf
As 74.92 As.upf
Pd 106.42 Pd.upf
Se 78.96 Se.upf
ATOMIC_POSITIONS angstrom
Cs 2.577 5.321 1.138
Cs 4.295 8.868 7.170
Cs 2.577 5.321 16.959
Cs 4.295 8.868 22.991
As 2.577 5.321 9.048
As 4.295 8.868 15.080
Pd 0.859 1.774 3.016
Pd 6.012 12.416 21.112
Se 4.150 3.916 7.942
Se 4.150 6.726 10.154
Se 5.868 7.464 16.186
Se 5.868 10.273 13.974
Se 1.003 3.916 10.154
Se 1.003 6.726 7.942
Se 2.721 7.464 13.974
Se 2.721 10.273 16.186
CELL_PARAMETERS angstrom
0.000 7.095 12.064
3.436 0.000 12.064
3.436 7.095 0.000
! - Energy: -3.70 eV/atom
! - Space group: Fddd
! - Fermi-level density of states: 9.30 states/eV per cell

***

Record 9
! K2SiCl (PBE-GGA, optimized geometry); values from VASP
&SYSTEM
  ibrav = 0, nat = 4, ntyp = 3
/
ATOMIC_SPECIES
K 39.10 K.upf
Si 28.09 Si.upf
Cl 35.45 Cl.upf
ATOMIC_POSITIONS angstrom
K 0.000 0.000 0.000
K 1.924 1.924 4.350
Si 0.000 0.000 6.476
Cl 1.924 1.924 1.355
CELL_PARAMETERS angstrom
3.847 0.000 0.000
0.000 3.847 0.000
0.000 0.000 9.872
! - Energy: -2.77 eV/atom
! - Space group: P4mm
! - Polymorph energy (0 for the lowest one): 138 meV per atom
! - Fermi-level density of states: 1.32 states/eV per cell

***

Record 10
! TlP2Ru (PBE-GGA, optimized geometry); values from VASP
&SYSTEM
  ibrav = 0, nat = 8, ntyp = 3
/
ATOMIC_SPECIES
Tl 204.38 Tl.upf
P 30.97 P.upf
Ru 101.07 Ru.upf
ATOMIC_POSITIONS angstrom
Tl 0.000 0.000 0.000
Tl 3.674 1.531 0.000
P 0.875 0.000 4.540
P 1.528 1.531 2.376
P 4.549 1.531 4.540
P 5.202 0.000 2.376
Ru -0.635 1.531 3.458
Ru 3.039 0.000 3.458
CELL_PARAMETERS angstrom
7.348 0.000 0.000
0.000 3.063 0.000
-1.271 0.000 6.916
! - Energy: -5.64 eV/atom
! - Space group: C2/m
! - Polymorph energy (0 for the lowest one): 20 meV per atom
! - Fermi-level density of states: 4.00 states/eV per cell
! - Formation energy: -26 meV per atom

***

Record 11
! Sm2SbI2 (PBE-GGA, optimized geometry); values from VASP
&SYSTEM
  ibrav = 0, nat = 15, ntyp = 3
/
ATOMIC_SPECIES
Sm 150.36 Sm.upf
Sb 121.76 Sb.upf
I 126.90 I.upf
ATOMIC_POSITIONS angstrom
Sm 0.000 0.000 3.995
Sm 0.000 0.000 30.374
Sm 0.000 2.554 18.918
Sm 0.000 2.554 26.908
Sm 2.212 1.277 7.461
Sm 2.212 1.277 15.452
Sb 0.000 0.000 17.185
Sb 0.000 2.554 5.728
Sb 2.212 1.277 28.641
I 0.000 0.000 9.441
I 0.000 0.000 24.928
I 0.000 2.554 13.472
I 0.000 2.554 32.354
I 2.212 1.277 2.016
I 2.212 1.277 20.897
CELL_PARAMETERS angstrom
4.425 0.000 0.000
-2.212 3.832 0.000
0.000 0.000 34.369
! - Energy: -4.65 eV/atom
! - Space group: R-3m
! - Fermi-level density of states: 6.00 states/eV per cell

***

Record 12
! CoRe2Si (PBE-GGA, optimized geometry); values from VASP
&SYSTEM
  ibrav = 0, nat = 4, ntyp = 3
/
ATOMIC_SPECIES
Co 58.93 Co.upf
Re 186.21 Re.upf
Si 28.09 Si.upf
ATOMIC_POSITIONS angstrom
Co 0.000 0.000 0.000
Re 0.000 2.072 2.173
Re 1.497 2.072 0.000
Si 1.497 0.000 2.173
CELL_PARAMETERS angstrom
2.994 0.000 0.000
0.000 4.144 0.000
0.000 0.000 4.345
! - Energy: -9.23 eV/atom
! - Space group: Pmmm
! - Fermi-level density of states: 3.82 states/eV per cell

***

Record 13
! Tm2Co2Ag (PBE-GGA, optimized geometry); values from VASP
&SYSTEM
  ibrav = 0, nat = 10, ntyp = 3
/
ATOMIC_SPECIES
Tm 168.93 Tm.upf
Co 58.93 Co.upf
Ag 107.87 Ag.upf
ATOMIC_POSITIONS angstrom
Tm 0.000 1.838 0.000
Tm 0.000 11.576 0.000
Tm 1.872 4.869 0.000
Tm 1.872 8.545 0.000
Co 0.000 3.968 1.890
Co 0.000 9.446 1.890
Co 1.872 2.739 1.890
Co 1.872 10.675 1.890
Ag 0.000 6.707 1.890
Ag 1.872 0.000 1.890
CELL_PARAMETERS angstrom
3.744 0.000 0.000
0.000 13.414 0.000
0.000 0.000 3.781
! - Energy: -5.47 eV/atom
! - Space group: Cmmm
! - Fermi-level density of states: 7.79 states/eV per cell
! - Formation energy: -269 meV per atom